DFT (PBEsol) results for a relaxed Ag2RhSO crystal.

Cell lengths 4.136, 5.117, 5.117 Å; angles 90.00, 90.00, 90.00 degrees
Positions (direct):
S (0.500, 0.000, 0.000)
Rh (0.000, 0.000, 0.000)
O (0.500, 0.500, 0.500)
Ag (0.000, 0.000, 0.500)
Ag (0.000, 0.500, 0.000)

- Crystal system: tetragonal
- Electronic total energy: -3.98 eV/atom
- Formation energy from raw total energies: 0.8959 eV/atom
- Magnetization: 1.55 Bohr magnetons per cell